Density functional theory data (GGA-PBE) for crystalline ZrNp2PaS4 at its relaxed geometry.

Cell lengths 6.536, 3.857, 6.759 Å; angles 90.00, 109.65, 90.00 degrees
Space group P2/m (No. 10)
One atom of each set of equivalent atoms:
Zr 0.000 0.000 0.000
Np 0.500 0.000 0.500
Np 0.500 0.500 0.000
Pa 0.000 0.500 0.500
S 0.242 0.500 0.241
S 0.248 0.000 0.759

Computed properties:
* DOS at the Fermi energy: 1.913 states/eV per atom
* formation energy without anion corrections: -1131 kJ/mol of formula units